Material: TcRuCl2
Method: DFT, PBE
State: optimized geometry

Lattice parameters (Å, degrees): 2.985 2.985 27.870 90.00 90.00 120.00
Fractional coordinates of all 12 atoms:
Tc 0.000 0.000 0.000
Tc 0.333 0.667 0.667
Tc 0.667 0.333 0.333
Ru 0.000 0.000 0.262
Ru 0.333 0.667 0.928
Ru 0.667 0.333 0.595
Cl 0.000 0.000 0.527
Cl 0.000 0.000 0.732
Cl 0.333 0.667 0.194
Cl 0.333 0.667 0.399
Cl 0.667 0.333 0.066
Cl 0.667 0.333 0.861

Its crystal system is trigonal. For the raw formation energy, the calculation gives 0.085 eV/atom. The value obtained for the polymorph energy (0 for the lowest one) is 149.5 meV per atom.